1.
Here is an optimized crystal structure of Sr4Th3GeN8 from Alexandria. Energies are from PBE.

## Properties
Crystal system: monoclinic
Calculated density: 7.2 Mg/m³
Total moment: 0.0 Bohr magnetons per cell
Density of states at the Fermi level: 1.26 states/eV/f.u.
Formation energy (no corrections): -0.898 eV/atom
DFT total energy: -7.161 eV/atom

Cell and atoms, written as CIF:
```
data_Sr4Th3GeN8
_chemical_formula_sum 'Sr8 Th6 Ge2 N16'
_cell_length_a 12.9487
_cell_length_b 7.1390
_cell_length_c 7.2909
_cell_angle_alpha 90.00
_cell_angle_beta 123.18
_cell_angle_gamma 90.00
_space_group_name_H-M_alt 'C 1 2/m 1'
_space_group_IT_number 12
_space_group_name_Hall '-C 2y'
loop_
_atom_site_label
_atom_site_type_symbol
_atom_site_fract_x
_atom_site_fract_y
_atom_site_fract_z
Sr1 Sr 0.0000 0.0000 0.0000
Sr2 Sr 0.0000 0.5000 0.0000
Sr3 Sr 0.2500 0.2500 0.0000
Th1 Th 0.0000 0.0000 0.5000
Th2 Th 0.2500 0.2500 0.5000
Ge1 Ge 0.0000 0.5000 0.5000
N1 N 0.0133 0.2772 0.3048
N2 N 0.2274 0.0000 0.2563
N3 N 0.2282 0.0000 0.7076
```



2.
Here is an optimized crystal structure of Sr2UGeN5 from Alexandria. Energies are from PBE.

## Properties
Crystal system: orthorhombic
Calculated density: 6.3 Mg/m³
Total moment: 0.0 Bohr magnetons per cell
Density of states at the Fermi level: 5.34 states/eV/f.u.
Formation energy (no corrections): -0.675 eV/atom
DFT total energy: -7.441 eV/atom

Cell and atoms, written as CIF:
```
data_Sr2UGeN5
_chemical_formula_sum 'Sr8 U4 Ge4 N20'
_cell_length_a 3.5124
_cell_length_b 14.2179
_cell_length_c 11.7984
_cell_angle_alpha 90.00
_cell_angle_beta 90.00
_cell_angle_gamma 90.00
_space_group_name_H-M_alt 'C m c 21'
_space_group_IT_number 36
_space_group_name_Hall 'C 2c -2'
loop_
_atom_site_label
_atom_site_type_symbol
_atom_site_fract_x
_atom_site_fract_y
_atom_site_fract_z
Sr1 Sr 0.0000 0.0840 0.0000
Sr2 Sr 0.0000 0.1363 0.6753
U1 U 0.0000 0.2064 0.3806
Ge1 Ge 0.0000 0.4384 0.7580
N1 N 0.0000 0.0514 0.3473
N2 N 0.0000 0.2883 0.9892
N3 N 0.0000 0.3056 0.7593
N4 N 0.0000 0.3429 0.3525
N5 N 0.0000 0.4983 0.1273
```